No. 1
MnCl2 | GGA-PBE | optimized geometry

Geometry as extended XYZ:
```
3
Lattice="-1.744 6.562 1.898 -4.921 4.953 -0.982 2.144 -6.586 1.316" Properties=species:S:1:pos:R:3 pbc="T T T"
Cl -2.574 4.447 0.354
Mn 0.000 0.000 0.000
Cl -4.091 7.069 0.562
```

Summary:
- theoretical density (g/cm³) = 2.99
- space group = I4/mmm
- formation energy (no corrections) (meV per atom) = -709
- crystal system = tetragonal



No. 2
Sc2Tc | GGA-PBE | optimized geometry

Geometry as extended XYZ:
```
6
Lattice="3.257 0.000 0.000 1.629 5.443 0.004 0.000 2.949 6.760" Properties=species:S:1:pos:R:3 pbc="T T T"
Sc 3.257 6.212 5.613
Sc 1.629 3.932 3.780
Tc 3.257 4.614 1.752
Sc 3.257 1.461 2.723
Sc 3.257 3.239 6.666
Tc 1.629 2.581 0.881
```

Summary:
- theoretical density (g/cm³) = 5.21
- space group = C2/m
- excess energy over the best structure of this formula in the dataset (eV per atom) = 0.040
- formation energy from the elements (eV per atom) = -0.17
- crystal system = monoclinic
- DOS(E_F) (states/eV per cell) = 5.26